No. 1
Compound: Sc2ZnCu
Source: the Open Quantum Materials Database
Functional: PBE-GGA
Structure: relaxed

Output
calculated formation energy	-98	meV/atom

The structure in CIF format:
```
data_Sc2ZnCu
_chemical_formula_sum 'Sc8 Zn4 Cu4'
_symmetry_space_group_name_H-M 'A m m 2'
_symmetry_Int_Tables_number 38
_cell_length_a 4.611
_cell_length_b 6.071
_cell_length_c 10.336
_cell_angle_alpha 90.00
_cell_angle_beta 90.00
_cell_angle_gamma 90.00
loop_
_symmetry_equiv_pos_as_xyz
'x,y,z'
'-x,-y,z'
'-x,y,z'
'x,-y,z'
'x,y+1/2,z+1/2'
'-x,-y+1/2,z+1/2'
'-x,y+1/2,z+1/2'
'x,-y+1/2,z+1/2'
loop_
_atom_site_label
_atom_site_fract_x
_atom_site_fract_y
_atom_site_fract_z
_atom_site_occupancy
Sc1 0.000 0.000 0.000 1
Sc2 0.000 0.235 0.742 1
Sc3 0.500 0.000 0.354 1
Zn1 0.000 0.000 0.498 1
Zn2 0.500 0.000 0.835 1
Cu1 0.500 0.234 0.587 1
```

=====

No. 2
Compound: ScZn2Cu5
Source: the Open Quantum Materials Database
Functional: PBE-GGA
Structure: relaxed

Output
calculated formation energy	-68	meV/atom
polymorph energy (0 for the lowest one)	0.0346	eV/atom

The structure in CIF format:
```
data_ScZn2Cu5
_chemical_formula_sum 'Sc2 Zn4 Cu10'
_symmetry_space_group_name_H-M 'A m m 2'
_symmetry_Int_Tables_number 38
_cell_length_a 4.232
_cell_length_b 6.049
_cell_length_c 8.597
_cell_angle_alpha 90.00
_cell_angle_beta 90.00
_cell_angle_gamma 90.00
loop_
_symmetry_equiv_pos_as_xyz
'x,y,z'
'-x,-y,z'
'-x,y,z'
'x,-y,z'
'x,y+1/2,z+1/2'
'-x,-y+1/2,z+1/2'
'-x,y+1/2,z+1/2'
'x,-y+1/2,z+1/2'
loop_
_atom_site_label
_atom_site_fract_x
_atom_site_fract_y
_atom_site_fract_z
_atom_site_occupancy
Sc1 0.000 0.000 0.000 1
Zn1 0.000 0.000 0.449 1
Zn2 0.500 0.000 0.769 1
Cu1 0.000 0.218 0.725 1
Cu2 0.500 0.000 0.244 1
Cu3 0.500 0.219 0.512 1
```

=====

No. 3
Compound: Sc3Zn2Cu3
Source: the Open Quantum Materials Database
Functional: PBE-GGA
Structure: relaxed

Output
calculated formation energy	-200	meV/atom
polymorph energy (0 for the lowest one)	0.0000	eV/atom

The structure in CIF format:
```
data_Sc3Zn2Cu3
_chemical_formula_sum 'Sc3 Zn2 Cu3'
_symmetry_space_group_name_H-M 'P 1 m 1'
_symmetry_Int_Tables_number 6
_cell_length_a 5.652
_cell_length_b 4.504
_cell_length_c 5.724
_cell_angle_alpha 90.00
_cell_angle_beta 115.86
_cell_angle_gamma 90.00
loop_
_symmetry_equiv_pos_as_xyz
'x,y,z'
'x,-y,z'
loop_
_atom_site_label
_atom_site_fract_x
_atom_site_fract_y
_atom_site_fract_z
_atom_site_occupancy
Sc1 0.000 0.000 0.000 1
Sc2 0.210 0.500 0.763 1
Sc3 0.553 0.000 0.471 1
Zn1 0.215 0.500 0.287 1
Zn2 0.512 0.000 0.965 1
Cu1 0.044 0.000 0.480 1
Cu2 0.707 0.500 0.796 1
Cu3 0.732 0.500 0.263 1
```

=====

No. 4
Compound: CuSe
Source: the Open Quantum Materials Database
Functional: PBE-GGA
Structure: relaxed

Output
raw total energy	-3.719	eV/atom

The structure in CIF format:
```
data_CuSe
_chemical_formula_sum 'Cu2 Se2'
_symmetry_space_group_name_H-M 'P 63 m c'
_symmetry_Int_Tables_number 186
_symmetry_space_group_name_Hall 'P 6c -2c'
_cell_length_a 3.7892
_cell_length_b 3.7892
_cell_length_c 6.6653
_cell_angle_alpha 90.00
_cell_angle_beta 90.00
_cell_angle_gamma 120.00
loop_
_atom_site_label
_atom_site_fract_x
_atom_site_fract_y
_atom_site_fract_z
_atom_site_occupancy
Cu1 0.3333 0.6667 0.0000 1
Se1 0.3333 0.6667 0.3552 1
```

=====

No. 5
Compound: CuSe
Source: the Open Quantum Materials Database
Functional: PBE-GGA
Structure: relaxed

Output
raw total energy	-3.507	eV/atom

The structure in CIF format:
```
data_CuSe
_chemical_formula_sum 'Cu1 Se1'
_symmetry_space_group_name_H-M 'P -6 m 2'
_symmetry_Int_Tables_number 187
_symmetry_space_group_name_Hall 'P -6 2'
_cell_length_a 3.5664
_cell_length_b 3.5664
_cell_length_c 3.1633
_cell_angle_alpha 90.00
_cell_angle_beta 90.00
_cell_angle_gamma 120.00
loop_
_atom_site_label
_atom_site_fract_x
_atom_site_fract_y
_atom_site_fract_z
_atom_site_occupancy
Cu1 0.0000 0.0000 0.0000 1
Se1 0.6667 0.3333 0.5000 1
```

=====

No. 6
Compound: CuSe
Source: the Open Quantum Materials Database
Functional: PBE-GGA
Structure: relaxed

Output
raw total energy	-3.703	eV/atom

The structure in CIF format:
```
data_CuSe
_chemical_formula_sum 'Cu2 Se2'
_symmetry_space_group_name_H-M 'P 42/m m c'
_symmetry_Int_Tables_number 131
_symmetry_space_group_name_Hall '-P 4c 2'
_cell_length_a 3.632
_cell_length_b 3.632
_cell_length_c 6.359
_cell_angle_alpha 90.00
_cell_angle_beta 90.00
_cell_angle_gamma 90.00
loop_
_atom_site_label
_atom_site_fract_x
_atom_site_fract_y
_atom_site_fract_z
_atom_site_occupancy
Cu1 0.000 0.500 0.000 1
Se1 0.000 0.000 0.250 1
```

=====

No. 7
Compound: CuSe
Source: the Open Quantum Materials Database
Functional: PBE-GGA
Structure: relaxed

Output
raw total energy	-3.493	eV/atom

The structure in CIF format:
```
data_CuSe
_chemical_formula_sum 'Cu12 Se12'
_symmetry_space_group_name_H-M 'C m c m'
_symmetry_Int_Tables_number 63
_symmetry_space_group_name_Hall '-C 2c 2'
_cell_length_a 3.954
_cell_length_b 6.840
_cell_length_c 16.644
_cell_angle_alpha 90.00
_cell_angle_beta 90.00
_cell_angle_gamma 90.00
loop_
_atom_site_label
_atom_site_fract_x
_atom_site_fract_y
_atom_site_fract_z
_atom_site_occupancy
Cu1 0.000 0.167 0.038 1
Cu2 0.000 0.168 0.750 1
Se1 0.000 0.166 0.250 1
Se2 0.000 0.499 0.592 1
```

=====

No. 8
Compound: CuSe
Source: the Open Quantum Materials Database
Functional: PBE-GGA
Structure: relaxed

Output
raw total energy	-3.735	eV/atom

The structure in CIF format:
```
data_CuSe
_chemical_formula_sum 'Cu6 Se6'
_symmetry_space_group_name_H-M 'P 63/m m c'
_symmetry_Int_Tables_number 194
_symmetry_space_group_name_Hall '-P 6c 2c'
_cell_length_a 4.0104
_cell_length_b 4.0104
_cell_length_c 17.4061
_cell_angle_alpha 90.00
_cell_angle_beta 90.00
_cell_angle_gamma 120.00
loop_
_atom_site_label
_atom_site_fract_x
_atom_site_fract_y
_atom_site_fract_z
_atom_site_occupancy
Cu1 0.3333 0.6667 0.1075 1
Cu2 0.3333 0.6667 0.7500 1
Se1 0.0000 0.0000 0.0694 1
Se2 0.3333 0.6667 0.2500 1
```

=====

No. 9
Compound: CuSe
Source: the Open Quantum Materials Database
Functional: PBE-GGA
Structure: relaxed

Output
raw total energy	-3.539	eV/atom

The structure in CIF format:
```
data_CuSe
_chemical_formula_sum 'Cu4 Se4'
_symmetry_space_group_name_H-M 'C m m e'
_symmetry_Int_Tables_number 67
_symmetry_space_group_name_Hall '-C 2a 2'
_cell_length_a 5.051
_cell_length_b 6.486
_cell_length_c 4.451
_cell_angle_alpha 90.00
_cell_angle_beta 90.00
_cell_angle_gamma 90.00
loop_
_atom_site_label
_atom_site_fract_x
_atom_site_fract_y
_atom_site_fract_z
_atom_site_occupancy
Cu1 0.000 0.000 0.000 1
Se1 0.000 0.250 0.373 1
```

=====

No. 10
Compound: Cu3SiSe4
Source: the Open Quantum Materials Database
Functional: PBE-GGA
Structure: relaxed

Output
raw total energy	-4.109	eV/atom

The structure in CIF format:
```
data_Cu3SiSe4
_chemical_formula_sum 'Cu6 Si2 Se8'
_symmetry_space_group_name_H-M 'I -4 2 m'
_symmetry_Int_Tables_number 121
_symmetry_space_group_name_Hall 'I -4 2'
_cell_length_a 5.517
_cell_length_b 5.517
_cell_length_c 11.049
_cell_angle_alpha 90.00
_cell_angle_beta 90.00
_cell_angle_gamma 90.00
loop_
_atom_site_label
_atom_site_fract_x
_atom_site_fract_y
_atom_site_fract_z
_atom_site_occupancy
Cu1 0.000 0.000 0.000 1
Cu2 0.000 0.500 0.250 1
Si1 0.000 0.000 0.500 1
Se1 0.243 0.243 0.377 1
```

=====

No. 11
Compound: Cu8SiSe6
Source: the Open Quantum Materials Database
Functional: PBE-GGA
Structure: relaxed

Output
raw total energy	-3.874	eV/atom

The structure in CIF format:
```
data_Cu8SiSe6
_chemical_formula_sum 'Cu16 Si2 Se12'
_symmetry_space_group_name_H-M 'P m n 21'
_symmetry_Int_Tables_number 31
_cell_length_a 7.317
_cell_length_b 7.197
_cell_length_c 10.160
_cell_angle_alpha 90.00
_cell_angle_beta 90.00
_cell_angle_gamma 90.00
loop_
_symmetry_equiv_pos_as_xyz
'x,y,z'
'-x+1/2,-y,z+1/2'
'-x,y,z'
'x+1/2,-y,z+1/2'
loop_
_atom_site_label
_atom_site_fract_x
_atom_site_fract_y
_atom_site_fract_z
_atom_site_occupancy
Cu1 0.000 0.103 0.000 1
Cu2 0.000 0.234 0.432 1
Cu3 0.191 0.027 0.216 1
Cu4 0.202 0.655 0.115 1
Cu5 0.214 0.610 0.814 1
Si1 0.000 0.753 0.470 1
Se1 0.000 0.002 0.604 1
Se2 0.000 0.306 0.198 1
Se3 0.000 0.500 0.606 1
Se4 0.000 0.773 0.954 1
Se5 0.239 0.251 0.850 1
```

=====

No. 12
Compound: TlCuSiTe2Se
Source: the Open Quantum Materials Database
Functional: PBE-GGA
Structure: relaxed

Output
raw total energy	-3.607	eV/atom

The structure in CIF format:
```
data_TlCuSiTe2Se
_chemical_formula_sum 'Tl4 Cu4 Si4 Te8 Se4'
_symmetry_space_group_name_H-M 'C m c m'
_symmetry_Int_Tables_number 63
_symmetry_space_group_name_Hall '-C 2c 2'
_cell_length_a 3.850
_cell_length_b 14.661
_cell_length_c 10.798
_cell_angle_alpha 90.00
_cell_angle_beta 90.00
_cell_angle_gamma 90.00
loop_
_atom_site_label
_atom_site_fract_x
_atom_site_fract_y
_atom_site_fract_z
_atom_site_occupancy
Tl1 0.000 0.240 0.250 1
Cu1 0.000 0.066 0.750 1
Si1 0.000 0.500 0.000 1
Te1 0.000 0.132 0.529 1
Se1 0.000 0.465 0.750 1
```